No. 1
{"formula": "Tl2Bi2Te", "functional": "GGA-PBE", "state": "optimized geometry", "lattice": [[8.288, 0.000, 0.000], [0.000, 8.288, 0.000], [0.000, 0.000, 5.081]], "species": ["Bi", "Bi", "Bi", "Bi", "Tl", "Tl", "Tl", "Tl", "Te", "Te"], "fractional_positions": [[0.135, 0.365, 0.000], [0.865, 0.635, 0.000], [0.635, 0.135, 0.000], [0.365, 0.865, 0.000], [0.673, 0.827, 0.500], [0.327, 0.173, 0.500], [0.173, 0.673, 0.500], [0.827, 0.327, 0.500], [0.500, 0.500, 0.000], [0.000, 0.000, 0.000]], "de_polymorph_mev_per_atom": 0, "magnetic_moment_mub_per_cell": 0.00, "mass_density_g_cm3": 9.08, "e_form_raw_ev_per_atom": 0.0008, "n_ef_per_ev_atom": 0.505}

---

No. 2
{"formula": "Ac2CrGePd6", "functional": "GGA-PBE", "state": "optimized geometry", "lattice": [[5.886, 0.036, 0.031], [-0.057, 8.089, 1.530], [2.883, 5.178, 5.716]], "species": ["Ge", "Pd", "Pd", "Pd", "Pd", "Pd", "Pd", "Ac", "Ac", "Cr"], "fractional_positions": [[0.500, 0.500, 0.000], [0.252, 0.234, 0.495], [0.234, 0.252, 0.018], [0.748, 0.253, 0.019], [0.748, 0.766, 0.505], [0.766, 0.748, 0.982], [0.252, 0.747, 0.981], [0.718, 0.282, 0.563], [0.282, 0.718, 0.437], [0.000, 0.000, 0.000]], "e_form_ev_per_fu": -4.35, "magnetic_moment_mub_per_cell": 4.02, "mass_density_g_cm3": 8.98, "n_ef_per_ev_atom": 0.549}

---

No. 3
{"formula": "Ta2BeAg2", "functional": "GGA-PBE", "state": "optimized geometry", "lattice": [[6.209, 0.000, 0.000], [0.000, 6.209, 0.000], [0.000, 0.000, 4.627]], "species": ["Ag", "Ag", "Ag", "Ag", "Ta", "Ta", "Ta", "Ta", "Be", "Be"], "fractional_positions": [[0.343, 0.157, 0.500], [0.657, 0.843, 0.500], [0.157, 0.657, 0.500], [0.843, 0.343, 0.500], [0.350, 0.850, 0.000], [0.850, 0.650, 0.000], [0.150, 0.350, 0.000], [0.650, 0.150, 0.000], [0.500, 0.500, 0.000], [0.000, 0.000, 0.000]], "de_polymorph_mev_per_atom": 0, "e_form_ev_per_fu": 4.09, "magnetic_moment_mub_per_cell": 0.00, "mass_density_g_cm3": 10.92, "n_ef_per_ev_atom": 1.062}

---

No. 4
{"formula": "Zn2CuW", "functional": "GGA-PBE", "state": "optimized geometry", "lattice": [[-2.196, -0.719, 1.337], [-0.141, -3.299, -2.006], [3.137, -2.461, 3.827]], "species": ["Zn", "Zn", "Cu", "W"], "fractional_positions": [[0.000, 0.000, 0.001], [0.500, 0.500, 0.254], [0.000, 0.000, 0.499], [0.500, 0.500, 0.745]], "de_polymorph_mev_per_atom": 173, "e_form_ev_per_fu": 1.11, "magnetic_moment_mub_per_cell": 0.00, "mass_density_g_cm3": 11.02, "n_ef_per_ev_atom": 0.617}

---

No. 5
{"formula": "PmSm2In2Hg2", "functional": "GGA-PBE", "state": "optimized geometry", "lattice": [[4.970, 0.000, 0.000], [2.485, 4.304, 0.000], [2.485, 1.435, 9.113]], "species": ["Sm", "Sm", "In", "In", "Hg", "Hg", "Pm"], "fractional_positions": [[0.869, 0.869, 0.393], [0.131, 0.131, 0.607], [0.268, 0.268, 0.195], [0.732, 0.732, 0.805], [0.579, 0.579, 0.264], [0.421, 0.421, 0.736], [0.000, 0.000, 0.000]], "e_form_ev_per_fu": -2.12, "magnetic_moment_mub_per_cell": 0.00, "mass_density_g_cm3": 9.17, "n_ef_per_ev_atom": 0.581}

---

No. 6
{"formula": "AgP2Br", "functional": "GGA-PBE", "state": "optimized geometry", "lattice": [[-4.759, 8.393, -7.304], [-6.891, 6.394, -7.620], [-6.979, 8.295, -5.379]], "species": ["Ag", "P", "P", "Br"], "fractional_positions": [[0.250, 0.250, 0.250], [0.975, 0.975, 0.975], [0.525, 0.525, 0.525], [0.750, 0.750, 0.750]], "de_polymorph_mev_per_atom": 674, "magnetic_moment_mub_per_cell": 0.00, "mass_density_g_cm3": 4.62, "e_form_raw_ev_per_atom": 0.6967, "n_ef_per_ev_atom": 1.173}